A plane-wave DFT calculation with PBE was carried out for a relaxed Mn4InPt crystal.

- space-group type = F-43m, No. 216
- calculated formation energy (meV/atom) = 167

Cell: 4.8869 4.8869 4.8869 Å, 60.00 60.00 60.00°
Closest atoms and distances in Å follow each position.
Element x y z (fractional)
Mn (0.1250, 0.1250, 0.1250)  6 Mn 2.44
Mn (0.1250, 0.1250, 0.6249)  6 Mn 2.44
Mn (0.1250, 0.6249, 0.1250)  6 Mn 2.44
Mn (0.6249, 0.1250, 0.1250)  6 Mn 2.44
In (0.5000, 0.5000, 0.5000)  12 Mn 2.87, 4 Pt 2.99
Pt (0.7500, 0.7500, 0.7500)  12 Mn 2.87, 4 In 2.99

A plane-wave DFT calculation with PBE was carried out for a relaxed TlRe2Ni crystal.

- space-group type = C2/m, No. 12
- relative energy among the computed polymorphs (kJ/mol of formula units) = 42
- calculated formation energy (meV/atom) = 627

Cell: 4.9591 4.9591 4.6383 Å, 102.09 102.09 34.65°
Closest atoms and distances in Å follow each position.
Element x y z (fractional)
Tl (0.0000, 0.0000, 0.0000)  4 Ni 2.75, 6 Re 2.81-2.96, 2 Tl 2.95
Re (0.2348, 0.2348, 0.7193)  2 Re 2.58, 2 Ni 2.68, 1 Tl 2.81
Re (0.7652, 0.7652, 0.2807)  2 Re 2.58, 2 Ni 2.68, 1 Tl 2.81
Ni (0.5000, 0.5000, 0.5000)  6 Re 2.68-2.91, 4 Tl 2.75, 2 Ni 2.95

A plane-wave DFT calculation with PBE was carried out for a relaxed LaTlMo2Ru crystal.

- space-group type = P4/mmm, No. 123
- calculated formation energy (meV/atom) = 924

Cell: 4.7837 4.7837 5.4938 Å, 90.00 90.00 90.00°
Closest atoms and distances in Å follow each position.
Element x y z (fractional)
La (0.0000, 0.0000, 0.0000)  2 Ru 2.75
Tl (0.5000, 0.5000, 0.0000)  4 La 3.38, 8 Mo 3.64
Mo (0.0000, 0.5000, 0.5000)  2 Ru 2.39
Mo (0.5000, 0.0000, 0.5000)  2 Ru 2.39
Ru (0.0000, 0.0000, 0.5000)  4 Mo 2.39

A plane-wave DFT calculation with PBE was carried out for a relaxed LiTa2Al crystal.

- space-group type = Imm2, No. 44
- relative energy among the computed polymorphs (kJ/mol of formula units) = 37
- calculated formation energy (meV/atom) = 127

Cell: 5.3423 5.3423 5.3423 Å, 147.16 127.67 63.18°
Closest atoms and distances in Å follow each position.
Element x y z (fractional)
Li (0.0000, 0.0000, 0.0000)  2 Al 2.48, 2 Ta 2.77
Ta (0.2548, 0.7548, 0.5000)  2 Li 2.77, 4 Al 2.81, 4 Ta 2.84-3.02
Ta (0.5186, 0.5186, 0.0000)  4 Li 2.80, 4 Ta 2.84-3.02, 2 Al 2.85
Al (0.7836, 0.2836, 0.5000)  2 Li 2.48

A plane-wave DFT calculation with PBE was carried out for a relaxed SrSnS2Cl crystal.

- space-group type = P4/mmm, No. 123
- raw formation energy (eV/f.u.) = -5.1
- relative energy among the computed polymorphs (kJ/mol of formula units) = 0

Cell: 5.1468 5.1468 5.1778 Å, 90.00 90.00 90.00°
Closest atoms and distances in Å follow each position.
Element x y z (fractional)
Sr (0.0000, 0.0000, 0.0000)  4 Cl 3.64, 8 S 3.65
Sn (0.5000, 0.5000, 0.5000)  4 S 2.57, 2 Cl 2.59
S (0.0000, 0.5000, 0.5000)  2 Sn 2.57
S (0.5000, 0.0000, 0.5000)  2 Sn 2.57
Cl (0.5000, 0.5000, 0.0000)  2 Sn 2.59

A plane-wave DFT calculation with PBE was carried out for a relaxed Ti2HgBOs crystal.

- space-group type = P4/mmm, No. 123
- calculated formation energy (meV/atom) = 1711

Cell: 4.9983 4.9983 3.8703 Å, 90.00 90.00 90.00°
Closest atoms and distances in Å follow each position.
Element x y z (fractional)
Ti (0.0000, 0.5000, 0.0000)  2 Hg 2.50
Ti (0.5000, 0.0000, 0.0000)  2 Hg 2.50
Hg (0.0000, 0.0000, 0.0000)  2 B 1.94
B (0.0000, 0.0000, 0.5000)  2 Hg 1.94
Os (0.5000, 0.5000, 0.5000)  8 Ti 3.16, 4 B 3.53

A plane-wave DFT calculation with PBE was carried out for a relaxed Cd2BiPd crystal.

- space-group type = P4/mmm, No. 123
- calculated formation energy (meV/atom) = -134

Cell: 3.2200 3.2200 8.8017 Å, 90.00 90.00 90.00°
Closest atoms and distances in Å follow each position.
Element x y z (fractional)
Cd (0.0000, 0.0000, 0.1955)  4 Pd 2.85
Cd (0.0000, 0.0000, 0.8045)  4 Pd 2.85
Bi (0.5000, 0.5000, 0.5000)  4 Bi 3.22, 8 Cd 3.52
Pd (0.5000, 0.5000, 0.0000)  8 Cd 2.85

A plane-wave DFT calculation with PBE was carried out for a relaxed Nd2MgMn crystal.

- space-group type = P4/mmm, No. 123
- relative energy among the computed polymorphs (kJ/mol of formula units) = 0
- calculated formation energy (meV/atom) = 90

Cell: 3.6732 3.6732 8.0648 Å, 90.00 90.00 90.00°
Closest atoms and distances in Å follow each position.
Element x y z (fractional)
Nd (0.0000, 0.0000, 0.2237)  4 Mn 3.16, 4 Mg 3.42
Nd (0.0000, 0.0000, 0.7763)  4 Mn 3.16, 4 Mg 3.42
Mg (0.5000, 0.5000, 0.5000)  8 Nd 3.42, 4 Mg 3.67
Mn (0.5000, 0.5000, 0.0000)  8 Nd 3.16

A plane-wave DFT calculation with PBE was carried out for a relaxed NaEu2Lu crystal.

- space-group type = R-3m, No. 166
- relative energy among the computed polymorphs (kJ/mol of formula units) = 0
- calculated formation energy (meV/atom) = 106

Cell: 12.6495 12.6495 12.6495 Å, 16.80 16.80 16.80°
Closest atoms and distances in Å follow each position.
Element x y z (fractional)
Na (0.0000, 0.0000, 0.0000)  6 Na 3.70, 6 Eu 3.92
Eu (0.2454, 0.2454, 0.2454)  3 Lu 3.64, 6 Eu 3.70, 3 Na 3.92
Eu (0.7546, 0.7546, 0.7546)  3 Lu 3.64, 6 Eu 3.70, 3 Na 3.92
Lu (0.5000, 0.5000, 0.5000)  6 Eu 3.64, 6 Lu 3.70

A plane-wave DFT calculation with PBE was carried out for a relaxed KOs2 crystal.

- space-group type = I4/mcm, No. 140
- relative energy among the computed polymorphs (kJ/mol of formula units) = 439
- calculated formation energy (meV/atom) = 2294

Cell: 5.7958 5.7958 5.7958 Å, 100.18 100.18 130.29°
Closest atoms and distances in Å follow each position.
Element x y z (fractional)
K (0.2500, 0.2500, 0.0000)  2 K 2.44
K (0.7500, 0.7500, 0.0000)  2 K 2.44
Os (0.1068, 0.6068, 0.7136)  1 Os 2.25
Os (0.3932, 0.1068, 0.5000)  1 Os 2.25
Os (0.6068, 0.8932, 0.5000)  1 Os 2.25
Os (0.8932, 0.3932, 0.2864)  1 Os 2.25

A plane-wave DFT calculation with PBE was carried out for a relaxed MgNpTaO6 crystal.

- space-group type = P-31c, No. 163
- raw formation energy (eV/f.u.) = -24.7

Cell: 5.4713 5.4713 8.9986 Å, 90.00 90.00 120.00°
Closest atoms and distances in Å follow each position.
Element x y z (fractional)
Mg (0.0000, 0.0000, 0.0000)  6 O 2.24
Mg (0.0000, 0.0000, 0.5000)  6 O 2.24
Np (0.3333, 0.6667, 0.2500)  6 O 2.15
Np (0.6667, 0.3333, 0.7500)  6 O 2.15
Ta (0.3333, 0.6667, 0.7500)  6 O 2.01
Ta (0.6667, 0.3333, 0.2500)  6 O 2.01
O (0.0185, 0.3553, 0.6327)  1 Ta 2.01, 1 Np 2.15, 1 Mg 2.24
O (0.0185, 0.6632, 0.8673)  1 Ta 2.01, 1 Np 2.15, 1 Mg 2.24
O (0.3368, 0.3553, 0.8673)  1 Ta 2.01, 1 Np 2.15, 1 Mg 2.24
O (0.3368, 0.9815, 0.6327)  1 Ta 2.01, 1 Np 2.15, 1 Mg 2.24
O (0.3553, 0.0185, 0.1327)  1 Ta 2.01, 1 Np 2.15, 1 Mg 2.24
O (0.3553, 0.3368, 0.3673)  1 Ta 2.01, 1 Np 2.15, 1 Mg 2.24
O (0.6447, 0.6632, 0.6327)  1 Ta 2.01, 1 Np 2.15, 1 Mg 2.24
O (0.6447, 0.9815, 0.8673)  1 Ta 2.01, 1 Np 2.15, 1 Mg 2.24
O (0.6632, 0.0185, 0.3673)  1 Ta 2.01, 1 Np 2.15, 1 Mg 2.24
O (0.6632, 0.6447, 0.1327)  1 Ta 2.01, 1 Np 2.15, 1 Mg 2.24
O (0.9815, 0.3368, 0.1327)  1 Ta 2.01, 1 Np 2.15, 1 Mg 2.24
O (0.9815, 0.6447, 0.3673)  1 Ta 2.01, 1 Np 2.15, 1 Mg 2.24

A plane-wave DFT calculation with PBE was carried out for a relaxed NdSmPtSe crystal.

- space-group type = R3m, No. 160
- raw formation energy (eV/f.u.) = -5.8

Cell: 7.6457 7.6457 7.6457 Å, 31.33 31.33 31.33°
Closest atoms and distances in Å follow each position.
Element x y z (fractional)
Nd (0.0000, 0.0000, 0.0000)  3 Pt 2.93, 3 Se 3.09
Sm (0.4879, 0.4879, 0.4879)  3 Pt 2.90, 3 Se 3.06
Pt (0.7451, 0.7451, 0.7451)  3 Sm 2.90, 3 Nd 2.93
Se (0.2429, 0.2429, 0.2429)  3 Sm 3.06, 3 Nd 3.09

A plane-wave DFT calculation with PBE was carried out for a relaxed HgAsP2 crystal.

- space-group type = Fm-3m, No. 225
- relative energy among the computed polymorphs (kJ/mol of formula units) = 208
- calculated formation energy (meV/atom) = 717

Cell: 4.7219 4.7219 4.7219 Å, 60.00 60.00 60.00°
Closest atoms and distances in Å follow each position.
Element x y z (fractional)
Hg (0.0000, 0.0000, 0.0000)  8 P 2.89
As (0.5000, 0.5000, 0.5000)  8 P 2.89
P (0.2500, 0.2500, 0.2500)  4 Hg 2.89, 4 As 2.89
P (0.7500, 0.7500, 0.7500)  4 Hg 2.89, 4 As 2.89